No. 1
DFT (PBE) results for Li5In8Ag after structural relaxation.

DOS at the Fermi energy (states/eV/atom): 0.23
SG: I-4 (82)
Formation enthalpy at 0 K (eV per atom): -0.15
Total energy (eV/cell): -36.43

Cell lengths 7.3337, 7.3337, 7.3337 Å; angles 110.72, 110.72, 107.00 degrees
Atoms (fractional coordinates):
1 Li 0.0000 0.0000 0.0000
2 Li 0.2036 0.5301 0.9050
3 Li 0.4699 0.3749 0.6735
4 Li 0.6251 0.2986 0.0950
5 Li 0.7014 0.7964 0.3265
6 In 0.1568 0.0912 0.7297
7 In 0.3614 0.4271 0.2703
8 In 0.4015 0.0032 0.2618
9 In 0.5729 0.8432 0.9343
10 In 0.7414 0.1397 0.7382
11 In 0.8603 0.5985 0.6016
12 In 0.9088 0.6386 0.0657
13 In 0.9968 0.2586 0.3984
14 Ag 0.2500 0.7500 0.5000



No. 2
DFT (PBE) results for KNaRu3 after structural relaxation.

DOS at the Fermi energy (states/eV/atom): 1.37
SG: Pm-3m (221)
Formation enthalpy at 0 K (eV per atom): 2.33
Total energy (eV/cell): -18.61
Excess energy over the best structure of this formula in the dataset (eV per atom): 0.000

Cell lengths 4.8968, 4.8968, 4.8968 Å; angles 90.00, 90.00, 90.00 degrees
Atoms (fractional coordinates):
1 K 0.0000 0.0000 0.0000
2 Na 0.5000 0.5000 0.5000
3 Ru 0.0000 0.5000 0.5000
4 Ru 0.5000 0.0000 0.5000
5 Ru 0.5000 0.5000 0.0000



No. 3
DFT (PBE) results for Ce3Tl5Te12 after structural relaxation.

DOS at the Fermi energy (states/eV/atom): 1.04
SG: Ia-3d (230)
ΔE_f (raw) (eV/atom): -0.512
Total energy (eV/cell): -310.32

Cell lengths 15.7878, 15.7878, 15.7878 Å; angles 109.47, 109.47, 109.47 degrees
Atoms (fractional coordinates):
1 Ce 0.1250 0.2500 0.3750
2 Ce 0.1250 0.3750 0.7500
3 Ce 0.2500 0.3750 0.1250
4 Ce 0.2500 0.8750 0.6250
5 Ce 0.3750 0.1250 0.2500
6 Ce 0.3750 0.7500 0.1250
7 Ce 0.6250 0.2500 0.8750
8 Ce 0.6250 0.8750 0.7500
9 Ce 0.7500 0.1250 0.3750
10 Ce 0.7500 0.6250 0.8750
11 Ce 0.8750 0.6250 0.2500
12 Ce 0.8750 0.7500 0.6250
13 Tl 0.0000 0.0000 0.0000
14 Tl 0.0000 0.0000 0.5000
15 Tl 0.0000 0.5000 0.0000
16 Tl 0.0000 0.5000 0.5000
17 Tl 0.1250 0.7500 0.8750
18 Tl 0.1250 0.8750 0.2500
19 Tl 0.2500 0.1250 0.8750
20 Tl 0.2500 0.6250 0.3750
21 Tl 0.3750 0.2500 0.6250
22 Tl 0.3750 0.6250 0.7500
23 Tl 0.5000 0.0000 0.0000
24 Tl 0.5000 0.0000 0.5000
25 Tl 0.5000 0.5000 0.0000
26 Tl 0.5000 0.5000 0.5000
27 Tl 0.6250 0.3750 0.2500
28 Tl 0.6250 0.7500 0.3750
29 Tl 0.7500 0.3750 0.6250
30 Tl 0.7500 0.8750 0.1250
31 Tl 0.8750 0.1250 0.7500
32 Tl 0.8750 0.2500 0.1250
33 Te 0.0589 0.2299 0.1426
34 Te 0.0589 0.3290 0.9163
35 Te 0.0837 0.6426 0.4127
36 Te 0.0837 0.9411 0.6710
37 Te 0.0873 0.7299 0.6710
38 Te 0.0873 0.8574 0.4163
39 Te 0.1426 0.0589 0.2299
40 Te 0.1426 0.5837 0.9127
41 Te 0.1710 0.2299 0.5873
42 Te 0.1710 0.4411 0.5837
43 Te 0.2299 0.1426 0.0589
44 Te 0.2299 0.5873 0.1710
45 Te 0.2701 0.3290 0.9127
46 Te 0.2701 0.4411 0.3574
47 Te 0.3290 0.9127 0.2701
48 Te 0.3290 0.9163 0.0589
49 Te 0.3574 0.2701 0.4411
50 Te 0.3574 0.5873 0.9163
51 Te 0.4127 0.0837 0.6426
52 Te 0.4127 0.8290 0.7701
53 Te 0.4163 0.0873 0.8574
54 Te 0.4163 0.8290 0.5589
55 Te 0.4411 0.3574 0.2701
56 Te 0.4411 0.5837 0.1710
57 Te 0.5589 0.4163 0.8290
58 Te 0.5589 0.6426 0.7299
59 Te 0.5837 0.1710 0.4411
60 Te 0.5837 0.9127 0.1426
61 Te 0.5873 0.1710 0.2299
62 Te 0.5873 0.9163 0.3574
63 Te 0.6426 0.4127 0.0837
64 Te 0.6426 0.7299 0.5589
65 Te 0.6710 0.0837 0.9411
66 Te 0.6710 0.0873 0.7299
67 Te 0.7299 0.5589 0.6426
68 Te 0.7299 0.6710 0.0873
69 Te 0.7701 0.4127 0.8290
70 Te 0.7701 0.8574 0.9411
71 Te 0.8290 0.5589 0.4163
72 Te 0.8290 0.7701 0.4127
73 Te 0.8574 0.4163 0.0873
74 Te 0.8574 0.9411 0.7701
75 Te 0.9127 0.1426 0.5837
76 Te 0.9127 0.2701 0.3290
77 Te 0.9163 0.0589 0.3290
78 Te 0.9163 0.3574 0.5873
79 Te 0.9411 0.6710 0.0837
80 Te 0.9411 0.7701 0.8574



No. 4
DFT (PBE) results for SrBiTe2As after structural relaxation.

DOS at the Fermi energy (states/eV/atom): 0.70
SG: P4/mmm (123)
ΔE_f (raw) (eV/atom): -0.064
Total energy (eV/cell): -16.82

Cell lengths 5.5575, 5.5575, 5.7237 Å; angles 90.00, 90.00, 90.00 degrees
Atoms (fractional coordinates):
1 Sr 0.0000 0.0000 0.0000
2 Bi 0.5000 0.5000 0.0000
3 Te 0.0000 0.5000 0.5000
4 Te 0.5000 0.0000 0.5000
5 As 0.0000 0.0000 0.5000



No. 5
DFT (PBE) results for NbI6Br2 after structural relaxation.

DOS at the Fermi energy (states/eV/atom): 0.42
SG: P2_1/c (14)
ΔE_f (raw) (eV/atom): -0.235
Total energy (eV/cell): -49.66

Cell lengths 8.3620, 9.3614, 13.7786 Å; angles 90.00, 119.87, 90.00 degrees
Atoms (fractional coordinates):
1 Nb 0.0000 0.0000 0.0000
2 Nb 0.0000 0.5000 0.5000
3 I 0.0485 0.2195 0.5581
4 I 0.0485 0.2805 0.0581
5 I 0.2125 0.0508 0.8949
6 I 0.2125 0.4492 0.3949
7 I 0.3270 0.5644 0.7017
8 I 0.3270 0.9356 0.2017
9 I 0.6730 0.0644 0.7983
10 I 0.6730 0.4356 0.2983
11 I 0.7875 0.5508 0.6051
12 I 0.7875 0.9492 0.1051
13 I 0.9515 0.7195 0.9419
14 I 0.9515 0.7805 0.4419
15 Br 0.2643 0.6963 0.2973
16 Br 0.2643 0.8037 0.7973
17 Br 0.7357 0.1963 0.2027
18 Br 0.7357 0.3037 0.7027



No. 6
DFT (PBE) results for HfTi2BP after structural relaxation.

DOS at the Fermi energy (states/eV/atom): 0.98
SG: P4/mmm (123)
Formation enthalpy at 0 K (eV per atom): 0.33
Total energy (eV/cell): -36.17

Cell lengths 4.6277, 4.6277, 3.7993 Å; angles 90.00, 90.00, 90.00 degrees
Atoms (fractional coordinates):
1 Hf 0.0000 0.0000 0.0000
2 Ti 0.0000 0.5000 0.5000
3 Ti 0.5000 0.0000 0.5000
4 B 0.5000 0.5000 0.0000
5 P 0.5000 0.5000 0.5000



No. 7
DFT (PBE) results for BaCa2Zn after structural relaxation.

DOS at the Fermi energy (states/eV/atom): 1.25
SG: P2_1/m (11)
Formation enthalpy at 0 K (eV per atom): -0.08
Total energy (eV/cell): -15.08

Cell lengths 4.6147, 10.3917, 6.9293 Å; angles 90.00, 109.38, 90.00 degrees
Atoms (fractional coordinates):
1 Ba 0.0641 0.2500 0.1288
2 Ba 0.9359 0.7500 0.8712
3 Ca 0.3494 0.0621 0.6994
4 Ca 0.3494 0.4379 0.6994
5 Ca 0.6506 0.5621 0.3006
6 Ca 0.6506 0.9379 0.3006
7 Zn 0.2293 0.7500 0.4577
8 Zn 0.7707 0.2500 0.5423



No. 8
DFT (PBE) results for Mg2CoCl after structural relaxation.

DOS at the Fermi energy (states/eV/atom): 0.72
SG: Cmmm (65)
ΔE_f (raw) (eV/atom): -0.316
Total energy (eV/cell): -13.41
Excess energy over the best structure of this formula in the dataset (eV per atom): 0.052

Cell lengths 3.1027, 3.1027, 7.1114 Å; angles 90.00, 90.00, 90.13 degrees
Atoms (fractional coordinates):
1 Mg 0.0000 0.0000 0.2115
2 Mg 0.0000 0.0000 0.7885
3 Co 0.5000 0.5000 0.0000
4 Cl 0.5000 0.5000 0.5000



No. 9
DFT (PBE) results for Sm4TmS5 after structural relaxation.

DOS at the Fermi energy (states/eV/atom): 0.39
SG: I4/mmm (139)
ΔE_f (raw) (eV/atom): -1.995
Total energy (eV/cell): -63.94

Cell lengths 14.3724, 14.3724, 14.3724 Å; angles 164.11, 164.11, 22.55 degrees
Atoms (fractional coordinates):
1 Sm 0.1011 0.1011 0.0000
2 Sm 0.3034 0.3034 0.0000
3 Sm 0.6966 0.6966 0.0000
4 Sm 0.8989 0.8989 0.0000
5 Tm 0.5000 0.5000 0.0000
6 S 0.0000 0.0000 0.0000
7 S 0.2018 0.2018 0.0000
8 S 0.4039 0.4039 0.0000
9 S 0.5961 0.5961 0.0000
10 S 0.7982 0.7982 0.0000



No. 10
DFT (PBE) results for NaCaAgCl4 after structural relaxation.

DOS at the Fermi energy (states/eV/atom): 0.00
SG: Imma (74)
ΔE_f (raw) (eV/atom): -1.671
Total energy (eV/cell): -50.51

Cell lengths 8.1406, 8.1406, 8.1406 Å; angles 121.10, 119.24, 89.72 degrees
Atoms (fractional coordinates):
1 Na 0.5000 0.0000 0.0000
2 Na 0.5000 0.5000 0.5000
3 Ca 0.0000 0.0000 0.0000
4 Ca 0.5000 0.0000 0.5000
5 Ag 0.1075 0.3575 0.7500
6 Ag 0.8925 0.6425 0.2500
7 Cl 0.2505 0.2363 0.0142
8 Cl 0.2518 0.2348 0.4830
9 Cl 0.2518 0.7688 0.0170
10 Cl 0.2779 0.7637 0.5142
11 Cl 0.7221 0.2363 0.4858
12 Cl 0.7482 0.2312 0.9830
13 Cl 0.7482 0.7652 0.5170
14 Cl 0.7495 0.7637 0.9858



| no. | density (g cm⁻³) |
| --- | --- |
| 1 | 5.8 |
| 2 | 5.2 |
| 3 | 6.5 |
| 4 | 5.9 |
| 5 | 3.6 |
| 6 | 6.4 |
| 7 | 3.0 |
| 8 | 3.5 |
| 9 | 6.9 |
| 10 | 2.7 |